The following is a GGA-PBE calculation of K2Ti3ZnO8 after structural relaxation, from Alexandria via LeMat-Bulk.

Calculated values
* space-group type: R3m
* total DFT energy (no corrections): -7.284 eV/atom

abc: 7.357 7.357 7.357
angles: 48.72 48.72 48.72
Element x y z (fractional)
K: 0.000 0.000 0.000
K: 0.357 0.357 0.357
Ti: 0.001 0.001 0.495
Ti: 0.001 0.495 0.001
Ti: 0.495 0.001 0.001
Zn: 0.545 0.545 0.545
O: 0.194 0.738 0.738
O: 0.222 0.222 0.222
O: 0.269 0.269 0.810
O: 0.269 0.810 0.269
O: 0.738 0.194 0.738
O: 0.738 0.738 0.194
O: 0.781 0.781 0.781
O: 0.810 0.269 0.269

=====

The following is a GGA-PBE calculation of PmTmCdSb after structural relaxation, from Alexandria via LeMat-Bulk.

Calculated values
* space-group type: F-43m
* total DFT energy (no corrections): -4.076 eV/atom

abc: 5.343 5.343 5.343
angles: 60.00 60.00 60.00
Element x y z (fractional)
Pm: 0.000 0.000 0.000
Tm: 0.500 0.500 0.500
Cd: 0.250 0.250 0.250
Sb: 0.750 0.750 0.750

=====

The following is a GGA-PBE calculation of ScTcP2Cl after structural relaxation, from Alexandria via LeMat-Bulk.

Calculated values
* space-group type: P4/mmm
* total DFT energy (no corrections): -5.838 eV/atom

abc: 4.559 4.559 4.947
angles: 90.00 90.00 90.00
Element x y z (fractional)
Sc: 0.000 0.000 0.000
Tc: 0.500 0.500 0.500
P: 0.000 0.500 0.500
P: 0.500 0.000 0.500
Cl: 0.500 0.500 0.000

=====

The following is a GGA-PBE calculation of AcEu2Sb after structural relaxation, from Alexandria via LeMat-Bulk.

Calculated values
* space-group type: P4/mmm
* total DFT energy (no corrections): -7.690 eV/atom

abc: 4.292 4.292 7.648
angles: 90.00 90.00 90.00
Element x y z (fractional)
Ac: 0.000 0.000 0.000
Eu: 0.500 0.500 0.297
Eu: 0.500 0.500 0.703
Sb: 0.000 0.000 0.500